## i
{"formula": "Er8TmMg2", "functional": "PBE", "state": "optimized geometry", "total_magnetization_mub_per_atom": 0.000, "cell": [[5.0629, 0.0000, -1.4554], [-0.9187, 7.6032, -3.1958], [-0.2761, -0.2735, 8.5732]], "species": ["Mg", "Er", "Er", "Er", "Er", "Mg", "Er", "Er", "Tm", "Er", "Er"], "fractional_positions": [[0.2272, 0.6287, 0.4544], [0.5999, 0.4706, 0.1998], [0.1463, 0.2015, 0.2925], [0.3122, 0.0496, 0.6243], [0.4001, 0.5294, 0.8002], [0.7728, 0.3713, 0.5456], [0.9431, 0.2652, 0.8862], [0.0569, 0.7348, 0.1138], [0.5000, 0.0000, 0.0000], [0.8537, 0.7985, 0.7075], [0.6878, 0.9504, 0.3757]]}

***

## ii
{"formula": "Er8TmMg2", "functional": "PBE", "state": "optimized geometry", "total_magnetization_mub_per_atom": 0.000, "cell": [[5.5263, -0.3242, -0.4866], [-1.4245, 8.6448, -0.8508], [-1.4245, -4.1147, 7.6502]], "species": ["Er", "Er", "Tm", "Mg", "Er", "Er", "Er", "Er", "Mg", "Er", "Er"], "fractional_positions": [[0.8717, 0.6804, 0.9024], [0.2982, 0.5962, 0.5962], [0.5000, 0.0000, 0.0000], [0.0000, 0.6935, 0.3065], [0.5000, 0.2117, 0.7883], [0.7018, 0.4038, 0.4038], [0.8717, 0.9024, 0.6804], [0.5000, 0.7883, 0.2117], [0.0000, 0.3065, 0.6935], [0.1283, 0.3196, 0.0976], [0.1283, 0.0976, 0.3196]]}

***

Energy ordering: i at the bottom, the next structure 134 meV per atom above.

***

## i
{"formula": "ErTm6Mg", "functional": "PBE", "state": "optimized geometry", "total_magnetization_mub_per_atom": 0.000, "cell": [[-5.1040, -5.8956, -3.1387], [-4.7541, -5.9762, 5.2469], [-5.9821, -1.4245, 1.1434]], "species": ["Tm", "Tm", "Mg", "Tm", "Er", "Tm", "Tm", "Tm"], "fractional_positions": [[0.0454, 0.5014, 0.2076], [0.7545, 0.9546, 0.7894], [0.0000, 0.0000, 0.0000], [0.2455, 0.0454, 0.2106], [0.5000, 0.5000, 0.5000], [0.4983, 0.2453, 0.3020], [0.9546, 0.4986, 0.7924], [0.5017, 0.7547, 0.6980]]}

***

## ii
{"formula": "ErTm6Mg", "functional": "PBE", "state": "optimized geometry", "total_magnetization_mub_per_atom": 0.000, "cell": [[4.9629, 0.0000, 0.0000], [0.0000, 6.8357, -0.7734], [0.0000, 0.7661, 6.8365]], "species": ["Tm", "Tm", "Tm", "Er", "Mg", "Tm", "Tm", "Tm"], "fractional_positions": [[0.0000, 0.7469, 0.7469], [0.0000, 0.7467, 0.2533], [0.5000, 0.0000, 0.5000], [0.5000, 0.5000, 0.5000], [0.5000, 0.0000, 0.0000], [0.0000, 0.2531, 0.2531], [0.5000, 0.5000, 0.0000], [0.0000, 0.2533, 0.7467]]}

***

Energy ordering: ii at the bottom, the next structure 109 meV per atom above.

***

## i
{"formula": "Er3TmMg4", "functional": "PBE", "state": "optimized geometry", "total_magnetization_mub_per_atom": 0.000, "cell": [[3.2578, 0.0000, 0.0000], [0.0000, 6.3354, 0.0000], [-1.6289, -3.1677, 10.8393]], "species": ["Mg", "Tm", "Mg", "Er", "Er", "Mg", "Er", "Mg"], "fractional_positions": [[0.3746, 0.6158, 0.7491], [0.5000, 0.0000, 0.0000], [0.3746, 0.1333, 0.7491], [0.7632, 0.7632, 0.5265], [0.2368, 0.2368, 0.4735], [0.6254, 0.3842, 0.2509], [0.0000, 0.5000, 0.0000], [0.6254, 0.8667, 0.2509]]}

***

## ii
{"formula": "Er3TmMg4", "functional": "PBE", "state": "optimized geometry", "total_magnetization_mub_per_atom": 0.000, "cell": [[-2.8686, 2.4032, 0.3377], [-2.3394, -2.8775, 0.6048], [2.5891, 1.0087, 14.8135]], "species": ["Mg", "Er", "Er", "Mg", "Mg", "Tm", "Mg", "Er"], "fractional_positions": [[0.0000, 0.0000, 0.8755], [0.5000, 0.5000, 0.5000], [0.5000, 0.5000, 0.7502], [0.0000, 0.0000, 0.6251], [0.0000, 0.0000, 0.1245], [0.5000, 0.5000, 0.0000], [0.0000, 0.0000, 0.3749], [0.5000, 0.5000, 0.2498]]}

***

Energy ordering: ii at the bottom, the next structure 158 meV per atom above.

***

## i
{"formula": "Er5Tm2Mg", "functional": "PBE", "state": "optimized geometry", "total_magnetization_mub_per_atom": 0.000, "cell": [[8.2294, 0.3658, -0.0056], [0.3662, 8.2295, -0.0048], [-4.2956, -4.2959, 3.5121]], "species": ["Er", "Mg", "Tm", "Tm", "Er", "Er", "Er", "Er"], "fractional_positions": [[0.1808, 0.6803, 0.9443], [0.2633, 0.2633, 0.4439], [0.1849, 0.6740, 0.4444], [0.6740, 0.1849, 0.4444], [0.7683, 0.7683, 0.4441], [0.7710, 0.7710, 0.9605], [0.2544, 0.2544, 0.9280], [0.6803, 0.1808, 0.9443]]}

***

## ii
{"formula": "Er5Tm2Mg", "functional": "PBE", "state": "optimized geometry", "total_magnetization_mub_per_atom": 0.000, "cell": [[-5.6564, -4.9221, -2.8030], [5.9426, -0.9033, 1.0247], [-12.2032, -12.1426, 7.5595]], "species": ["Tm", "Er", "Er", "Er", "Tm", "Er", "Mg", "Er", "Mg", "Er", "Er", "Er", "Er", "Tm", "Er", "Tm"], "fractional_positions": [[0.1912, 0.3592, 0.5223], [0.8921, 0.8016, 0.6589], [0.9095, 0.8016, 0.8411], [0.4691, 0.9372, 0.0872], [0.8088, 0.6408, 0.4777], [0.2354, 0.4708, 0.7500], [0.5926, 0.1852, 0.7500], [0.5309, 0.0628, 0.9128], [0.4074, 0.8148, 0.2500], [0.4681, 0.9372, 0.4128], [0.7646, 0.5292, 0.2500], [0.1079, 0.1984, 0.3411], [0.5319, 0.0628, 0.5872], [0.1680, 0.3592, 0.9777], [0.0905, 0.1984, 0.1589], [0.8320, 0.6408, 0.0223]]}

***

Energy ordering: i at the bottom, the next structure 99 meV per atom above.

***

## i
{"formula": "Er2TmMg9", "functional": "PBE", "state": "optimized geometry", "total_magnetization_mub_per_atom": 0.000, "cell": [[6.0130, 0.0000, 0.0000], [3.0065, 5.2074, 0.0000], [3.0065, 1.7358, 9.6416]], "species": ["Mg", "Mg", "Mg", "Tm", "Mg", "Mg", "Mg", "Mg", "Er", "Er", "Mg", "Mg"], "fractional_positions": [[0.3342, 0.3342, 0.9975], [0.4130, 0.9210, 0.2530], [0.6658, 0.6658, 0.0025], [0.0000, 0.0000, 0.0000], [0.9210, 0.4130, 0.2530], [0.5870, 0.0790, 0.7470], [0.5870, 0.5870, 0.7470], [0.0790, 0.5870, 0.7470], [0.1435, 0.1435, 0.5695], [0.8565, 0.8565, 0.4305], [0.4130, 0.4130, 0.2530], [0.5000, 0.5000, 0.5000]]}

***

## ii
{"formula": "Er2TmMg9", "functional": "PBE", "state": "optimized geometry", "total_magnetization_mub_per_atom": 0.000, "cell": [[4.6394, 0.0000, 0.0000], [0.0000, 4.6394, 0.0000], [0.0000, 0.0000, 13.9003]], "species": ["Mg", "Mg", "Mg", "Mg", "Mg", "Er", "Tm", "Mg", "Mg", "Mg", "Mg", "Er"], "fractional_positions": [[0.0000, 0.5000, 0.5000], [0.5000, 0.0000, 0.5000], [0.0000, 0.5000, 0.1661], [0.5000, 0.0000, 0.1661], [0.5000, 0.5000, 0.3334], [0.0000, 0.0000, 0.3330], [0.0000, 0.0000, 0.0000], [0.5000, 0.5000, 0.6666], [0.5000, 0.5000, 0.0000], [0.5000, 0.0000, 0.8339], [0.0000, 0.5000, 0.8339], [0.0000, 0.0000, 0.6670]]}

***

Energy ordering: ii at the bottom, the next structure 39 meV per atom above.

***

## i
{"formula": "Er3TmMg7", "functional": "PBE", "state": "optimized geometry", "total_magnetization_mub_per_atom": 0.000, "cell": [[5.8835, -0.7002, -0.8967], [-3.2336, 7.5915, 1.4455], [-3.2336, -0.4381, 7.7154]], "species": ["Tm", "Mg", "Mg", "Mg", "Er", "Mg", "Mg", "Mg", "Mg", "Er", "Er"], "fractional_positions": [[0.5000, 0.5000, 0.5000], [0.6927, 0.4338, 0.9450], [0.3073, 0.5662, 0.0550], [0.5505, 0.7633, 0.7633], [0.0000, 0.8071, 0.1929], [0.6927, 0.9450, 0.4338], [0.0000, 0.5000, 0.5000], [0.3073, 0.0550, 0.5662], [0.4495, 0.2367, 0.2367], [0.0000, 0.1929, 0.8071], [0.5000, 0.0000, 0.0000]]}

***

## ii
{"formula": "Er3TmMg7", "functional": "PBE", "state": "optimized geometry", "total_magnetization_mub_per_atom": 0.000, "cell": [[-2.1290, 0.6475, -2.4171], [3.5517, -10.0937, -3.5992], [-11.8583, -7.2085, 8.5138]], "species": ["Mg", "Mg", "Tm", "Mg", "Er", "Er", "Mg", "Er", "Mg", "Mg", "Er", "Mg", "Mg", "Mg", "Mg", "Mg", "Mg", "Mg", "Er", "Tm", "Er", "Mg"], "fractional_positions": [[0.2619, 0.5239, 0.4247], [0.7381, 0.4761, 0.9247], [0.9866, 0.9732, 0.2500], [0.5059, 0.0118, 0.5845], [0.8820, 0.7641, 0.5327], [0.1180, 0.2359, 0.4673], [0.2619, 0.5239, 0.0753], [0.2372, 0.4745, 0.7500], [0.3757, 0.7513, 0.1577], [0.5059, 0.0118, 0.9155], [0.1180, 0.2359, 0.0327], [0.6243, 0.2487, 0.6577], [0.3840, 0.7680, 0.7500], [0.6160, 0.2320, 0.2500], [0.4941, 0.9882, 0.0845], [0.4941, 0.9882, 0.4155], [0.3757, 0.7513, 0.3423], [0.6243, 0.2487, 0.8423], [0.8820, 0.7641, 0.9673], [0.0134, 0.0268, 0.7500], [0.7628, 0.5255, 0.2500], [0.7381, 0.4761, 0.5753]]}

***

Energy ordering: ii at the bottom, the next structure 108 meV per atom above.

***

## i
{"formula": "Er6Tm3Mg", "functional": "PBE", "state": "optimized geometry", "total_magnetization_mub_per_atom": 0.000, "cell": [[-3.0443, -2.5492, 7.8078], [-4.0525, -6.8337, -3.8113], [8.2578, -1.2337, 2.8170]], "species": ["Er", "Tm", "Er", "Er", "Tm", "Mg", "Er", "Er", "Er", "Tm", "Er", "Er", "Er", "Tm", "Tm", "Mg", "Tm", "Er", "Er", "Er"], "fractional_positions": [[0.7827, 0.0579, 0.9421], [0.9087, 0.4554, 0.5446], [0.2693, 0.5226, 0.8231], [0.2693, 0.1769, 0.4774], [0.9286, 0.0315, 0.3238], [0.0309, 0.2219, 0.7781], [0.7693, 0.8231, 0.5226], [0.1701, 0.7164, 0.2836], [0.7693, 0.4774, 0.1769], [0.4286, 0.9685, 0.6762], [0.0985, 0.8227, 0.7001], [0.5985, 0.7001, 0.8227], [0.2827, 0.9421, 0.0579], [0.4286, 0.3238, 0.0315], [0.4087, 0.5446, 0.4554], [0.5309, 0.7781, 0.2219], [0.9286, 0.6762, 0.9685], [0.0985, 0.2999, 0.1773], [0.6701, 0.2836, 0.7164], [0.5985, 0.1773, 0.2999]]}

***

## ii
{"formula": "Er6Tm3Mg", "functional": "PBE", "state": "optimized geometry", "total_magnetization_mub_per_atom": 0.000, "cell": [[4.9334, 0.0000, 0.0000], [0.0000, 10.9635, -0.1554], [0.0000, 0.1101, 11.0144]], "species": ["Er", "Tm", "Er", "Tm", "Er", "Mg", "Tm", "Er", "Er", "Er", "Er", "Tm", "Er", "Tm", "Er", "Mg", "Er", "Er", "Tm", "Er"], "fractional_positions": [[0.7500, 0.3486, 0.3000], [0.7500, 0.2489, 0.9978], [0.2500, 0.4492, 0.1020], [0.2500, 0.3484, 0.7975], [0.2500, 0.2478, 0.4991], [0.7500, 0.0479, 0.4023], [0.2500, 0.5510, 0.4001], [0.2500, 0.1504, 0.1982], [0.2500, 0.8509, 0.3036], [0.2500, 0.0490, 0.9003], [0.7500, 0.1491, 0.6964], [0.7500, 0.6516, 0.2025], [0.7500, 0.5508, 0.8980], [0.2500, 0.7511, 0.0022], [0.7500, 0.7522, 0.5009], [0.2500, 0.9521, 0.5977], [0.2500, 0.6514, 0.7000], [0.7500, 0.8496, 0.8018], [0.7500, 0.4490, 0.5999], [0.7500, 0.9510, 0.0997]]}

***

Energy ordering: ii at the bottom, the next structure 115 meV per atom above.

***

## i
{"formula": "Er2Tm5Mg", "functional": "PBE", "state": "optimized geometry", "total_magnetization_mub_per_atom": 0.000, "cell": [[8.2146, 0.3346, -0.0007], [0.3857, 8.2125, -0.0044], [-4.3011, -4.2726, 3.5002]], "species": ["Tm", "Tm", "Tm", "Er", "Er", "Tm", "Tm", "Mg"], "fractional_positions": [[0.2549, 0.2549, 0.9277], [0.1805, 0.6806, 0.9447], [0.6806, 0.1805, 0.9448], [0.1851, 0.6739, 0.4442], [0.6738, 0.1850, 0.4441], [0.7713, 0.7713, 0.9602], [0.7682, 0.7681, 0.4438], [0.2626, 0.2627, 0.4444]]}

***

## ii
{"formula": "Er2Tm5Mg", "functional": "PBE", "state": "optimized geometry", "total_magnetization_mub_per_atom": 0.000, "cell": [[-5.6265, 3.2366, -4.6829], [5.0123, -3.1806, -1.3818], [-16.3273, -5.6675, -7.2648]], "species": ["Mg", "Tm", "Tm", "Er", "Tm", "Tm", "Er", "Tm", "Mg", "Tm", "Tm", "Tm", "Tm", "Tm", "Er", "Er"], "fractional_positions": [[0.5891, 0.1789, 0.7500], [0.4691, 0.9362, 0.4126], [0.8900, 0.7982, 0.6595], [0.1670, 0.3585, 0.9776], [0.5309, 0.0638, 0.5874], [0.9082, 0.7985, 0.8406], [0.8330, 0.6415, 0.0224], [0.1100, 0.2018, 0.3405], [0.4109, 0.8211, 0.2500], [0.2335, 0.4674, 0.7500], [0.0918, 0.2015, 0.1594], [0.7665, 0.5326, 0.2500], [0.5325, 0.0637, 0.9126], [0.4675, 0.9363, 0.0874], [0.8084, 0.6417, 0.4775], [0.1916, 0.3583, 0.5225]]}

***

Energy ordering: i at the bottom, the next structure 95 meV per atom above.

***

## i
{"formula": "Er4Tm7Mg", "functional": "PBE", "state": "optimized geometry", "total_magnetization_mub_per_atom": 0.032, "cell": [[5.4582, 1.2642, 2.4922], [3.4588, 6.0275, 4.4552], [0.5155, 1.1144, 13.3714]], "species": ["Tm", "Mg", "Tm", "Tm", "Er", "Er", "Tm", "Er", "Tm", "Tm", "Tm", "Er"], "fractional_positions": [[0.2886, 0.9167, 0.4160], [0.1263, 0.7510, 0.0825], [0.7940, 0.4136, 0.9204], [0.6228, 0.2499, 0.5836], [0.1201, 0.4165, 0.4161], [0.6271, 0.5839, 0.2494], [0.6270, 0.9172, 0.9171], [0.2895, 0.5825, 0.7511], [0.1200, 0.0830, 0.7506], [0.2999, 0.2500, 0.0835], [0.7938, 0.0865, 0.2461], [0.7909, 0.7494, 0.5835]]}

***

## ii
{"formula": "Er4Tm7Mg", "functional": "PBE", "state": "optimized geometry", "total_magnetization_mub_per_atom": 0.007, "cell": [[5.5052, 0.0000, 0.0000], [-2.7526, 4.7676, 0.0000], [0.0000, 0.0000, 13.6766]], "species": ["Er", "Tm", "Tm", "Tm", "Mg", "Tm", "Tm", "Tm", "Er", "Tm", "Er", "Er"], "fractional_positions": [[0.3333, 0.6667, 0.9268], [0.0000, 0.0000, 0.0000], [0.6667, 0.3333, 0.8269], [0.0000, 0.0000, 0.2632], [0.0000, 0.0000, 0.5000], [0.0000, 0.0000, 0.7368], [0.6667, 0.3333, 0.5764], [0.3333, 0.6667, 0.1731], [0.6667, 0.3333, 0.0732], [0.3333, 0.6667, 0.4236], [0.6667, 0.3333, 0.3184], [0.3333, 0.6667, 0.6816]]}

***

Energy ordering: i at the bottom, the next structure 89 meV per atom above.

***

## i
{"formula": "ErTmMgZn", "functional": "PBE", "state": "optimized geometry", "total_magnetization_mub_per_atom": 0.000, "cell": [[-3.6755, -2.9264, -2.0837], [1.1679, -4.6348, -1.8892], [-1.5932, -4.2406, 2.4276]], "species": ["Mg", "Er", "Tm", "Zn"], "fractional_positions": [[0.7500, 0.7500, 0.7500], [0.5000, 0.5000, 0.5000], [0.0000, 0.0000, 0.0000], [0.2500, 0.2500, 0.2500]]}

***

## ii
{"formula": "ErTmMgZn", "functional": "PBE", "state": "optimized geometry", "total_magnetization_mub_per_atom": 0.000, "cell": [[3.5278, 0.0000, 0.0000], [0.0000, 3.5278, 0.0000], [0.0000, 0.0000, 7.8409]], "species": ["Mg", "Zn", "Tm", "Er"], "fractional_positions": [[0.5000, 0.5000, 0.1085], [0.5000, 0.5000, 0.6051], [0.0000, 0.0000, 0.3860], [0.0000, 0.0000, 0.8284]]}

***

Energy ordering: ii at the bottom, the next structure 34 meV per atom above.